Record 1
5
Lattice="5.141 0.000 0.000 0.000 5.141 0.000 0.000 0.000 5.141" Properties=species:S:1:pos:R:3 comment="Y3NiTe | Alexandria | GGA-PBEsol | relaxed" mass_density_g_cm3=5.54 n_ef_per_ev_cell=4.30 raw_formation_energy_ev_per_fu=-2.3 vol_a3_per_atom=27.2 pbc="T T T"
Y 0.000 0.000 2.570
Y 0.000 2.570 0.000
Y 2.570 0.000 0.000
Ni 0.000 0.000 0.000
Te 2.570 2.570 2.570



Record 2
4
Lattice="3.255 0.000 0.000 0.000 3.255 0.000 0.000 0.000 7.390" Properties=species:S:1:pos:R:3 comment="ZnNiTe2 | Alexandria | GGA-PBEsol | relaxed" mass_density_g_cm3=8.05 n_ef_per_ev_cell=2.87 raw_formation_energy_ev_per_fu=1.0 vol_a3_per_atom=19.6 pbc="T T T"
Zn 0.000 0.000 0.000
Ni 0.000 0.000 3.695
Te 1.627 1.627 2.077
Te 1.627 1.627 5.314



Record 3
12
Lattice="5.915 0.000 0.000 0.000 5.915 0.000 0.000 0.000 5.915" Properties=species:S:1:pos:R:3 comment="ZnNiTe | Alexandria | GGA-PBEsol | relaxed" mass_density_g_cm3=8.08 n_ef_per_ev_cell=3.60 raw_formation_energy_ev_per_fu=-0.6 vol_a3_per_atom=17.2 pbc="T T T"
Zn 0.000 0.000 0.000
Zn 0.000 2.958 2.958
Zn 2.958 0.000 2.958
Zn 2.958 2.958 0.000
Ni 1.479 1.479 1.479
Ni 1.479 4.437 4.437
Ni 4.437 1.479 4.437
Ni 4.437 4.437 1.479
Te 0.000 0.000 2.958
Te 0.000 2.958 0.000
Te 2.958 0.000 0.000
Te 2.958 2.958 2.958



Record 4
3
Lattice="3.946 0.000 0.000 -1.973 3.418 0.000 0.000 0.000 4.057" Properties=species:S:1:pos:R:3 comment="ZnNiTe | Alexandria | GGA-PBEsol | relaxed" mass_density_g_cm3=7.64 n_ef_per_ev_cell=1.53 raw_formation_energy_ev_per_fu=0.2 vol_a3_per_atom=18.2 pbc="T T T"
Zn 0.000 0.000 0.000
Ni 1.973 1.139 0.990
Te 0.000 2.278 2.001



Record 5
6
Lattice="3.037 0.000 0.000 0.000 3.037 0.000 0.000 0.000 11.475" Properties=species:S:1:pos:R:3 comment="ZnNiTe | Alexandria | GGA-PBEsol | relaxed" mass_density_g_cm3=7.90 n_ef_per_ev_cell=3.06 raw_formation_energy_ev_per_fu=0.5 vol_a3_per_atom=17.6 pbc="T T T"
Zn 0.000 0.000 0.000
Zn 1.518 1.518 5.737
Ni 0.000 0.000 4.411
Ni 1.518 1.518 10.148
Te 0.000 0.000 8.467
Te 1.518 1.518 2.730



Record 6
9
Lattice="7.644 0.000 0.000 -3.822 6.620 0.000 0.000 0.000 3.662" Properties=species:S:1:pos:R:3 comment="Zr6NiTe2 | Alexandria | GGA-PBEsol | relaxed" mass_density_g_cm3=7.72 n_ef_per_ev_cell=5.10 raw_formation_energy_ev_per_fu=-5.8 vol_a3_per_atom=20.6 pbc="T T T"
Zr -1.554 2.692 0.000
Zr -2.907 5.034 1.831
Zr 0.915 1.586 1.831
Zr 3.108 0.000 0.000
Zr 2.268 3.928 0.000
Zr 5.813 0.000 1.831
Ni 0.000 0.000 0.000
Te 0.000 4.413 1.831
Te 3.822 2.207 1.831